(1)
MoPbO4 (GGA-PBEsol, relaxed); space-group type = I4_1/a (88); formation energy from raw total energies = -1.821 eV per atom; calculated volume = 175.8 Å³/cell; DFT total energy = -7.948 eV/atom
1.0
-3.7716 -3.1249 -2.3276
3.2895 -4.2898 0.4289
-2.0611 2.4797 6.3278
Mo O Pb
2 8 2
direct
0.0000 0.0000 0.0000
0.2500 0.7500 0.5000
0.7773 0.6842 0.8360
0.3158 0.9413 0.1640
0.0587 0.1517 0.8360
0.8483 0.2227 0.1640
0.4727 0.0658 0.6640
0.4017 0.5273 0.3360
0.1913 0.5983 0.6640
0.9342 0.8087 0.3360
0.7500 0.2500 0.5000
0.5000 0.5000 0.0000

(2)
ScTcPt2 (GGA-PBEsol, relaxed); space-group type = C2/m (12); polymorph energy (0 for the lowest one) = 243 meV per atom; formation enthalpy at 0 K = -0.385 eV per atom; calculated volume = 61.7 Å³/cell; DFT total energy = -8.335 eV/atom
1.0
2.8006 0.0000 0.0000
0.0000 4.8148 0.0072
-1.4003 -0.8101 4.5771
Pt Sc Tc
2 1 1
direct
0.2551 0.2602 0.5102
0.7449 0.7398 0.4898
0.5000 0.0000 0.0000
0.0000 0.5000 0.0000

(3)
UNiSb2 (GGA-PBEsol, relaxed); space-group type = P4/nmm (129); formation energy from raw total energies = -0.311 eV per atom; calculated volume = 163.8 Å³/cell; DFT total energy = -7.168 eV/atom
1.0
4.2960 0.0000 0.0000
0.0000 4.2960 0.0000
0.0000 0.0000 8.8766
Ni U Sb
2 2 4
direct
0.5000 0.5000 0.0000
0.0000 0.0000 0.0000
0.0000 0.5000 0.2285
0.5000 0.0000 0.7715
0.0000 0.0000 0.5000
0.5000 0.0000 0.1624
0.5000 0.5000 0.5000
0.0000 0.5000 0.8376

(4)
MgTa2N3 (GGA-PBEsol, relaxed); space-group type = P6_3/mcm (193); formation energy from raw total energies = -1.390 eV per atom; calculated volume = 243.3 Å³/cell; DFT total energy = -10.124 eV/atom
1.0
-2.2905 4.6648 0.1697
0.7694 -2.3537 -4.5720
-9.2901 -4.5908 0.8000
Ta N Mg
8 12 4
direct
0.6642 0.0000 0.2500
0.3358 0.0000 0.7500
0.0000 0.3358 0.7500
0.6642 0.6642 0.7500
0.3358 0.3358 0.2500
0.0000 0.0000 0.5000
0.0000 0.6642 0.2500
0.0000 0.0000 0.0000
0.3298 0.3298 0.8793
0.3298 0.0000 0.1207
0.6702 0.0000 0.6207
0.0000 0.6702 0.6207
0.0000 0.3298 0.3793
0.3298 0.3298 0.6207
0.6702 0.6702 0.3793
0.6702 0.6702 0.1207
0.0000 0.3298 0.1207
0.3298 0.0000 0.3793
0.6702 0.0000 0.8793
0.0000 0.6702 0.8793
0.6667 0.3333 0.5000
0.3333 0.6667 0.5000
0.3333 0.6667 0.0000
0.6667 0.3333 0.0000

(5)
KPtPb2W (GGA-PBEsol, relaxed); space-group type = P4/mmm (123); formation enthalpy at 0 K = 2.422 eV per atom; calculated volume = 146.3 Å³/cell; DFT total energy = -3.558 eV/atom
1.0
-1.2574 4.0146 2.3755
-2.6545 -3.0429 3.7374
4.6018 -0.3325 2.9978
K W Pb Pt
1 1 2 1
direct
0.0000 0.0000 0.0000
0.5000 0.5000 0.5000
0.0000 0.5000 0.0000
0.0000 0.0000 0.5000
0.5000 0.0000 0.0000

(6)
TlSi2Au (GGA-PBEsol, relaxed); space-group type = Cm (8); polymorph energy (0 for the lowest one) = 0 meV per atom; formation energy from raw total energies = 0.148 eV per atom; calculated volume = 80.1 Å³/cell; DFT total energy = -4.364 eV/atom
1.0
3.8010 0.0000 0.0000
-1.9005 3.2882 -0.0479
0.0000 -2.1535 6.4374
Tl Si Au
1 2 1
direct
0.4996 0.9991 0.5032
0.7257 0.4514 0.1722
0.0076 0.0153 0.0215
0.2671 0.5342 0.8032

> Among the records above, which one has the highest calculated volume?

MgTa2N3

> What is the calculated volume in the first record?

175.8 Å³/cell

> The lowest calculated volume belongs to which entry?

ScTcPt2